# 1
NdThSc5 | GGA-PBE | relaxed

Structure (CIF):
```
data_NdThSc5
_symmetry_space_group_name_H-M 'C 1 2/c 1'
_symmetry_Int_Tables_number 15
_cell_length_a 8.241
_cell_length_b 9.231
_cell_length_c 10.745
_cell_angle_alpha 90.00
_cell_angle_beta 110.17
_cell_angle_gamma 90.00
loop_
_symmetry_equiv_pos_as_xyz
'x,y,z'
'-x,-y,-z'
'-x,y,-z+1/2'
'x,-y,z+1/2'
'x+1/2,y+1/2,z'
'-x+1/2,-y+1/2,-z'
'-x+1/2,y+1/2,-z+1/2'
'x+1/2,-y+1/2,z+1/2'
loop_
_atom_site_label
_atom_site_fract_x
_atom_site_fract_y
_atom_site_fract_z
Nd1 0.250 0.250 0.000
Th1 0.000 0.240 0.250
Sc1 0.000 0.416 0.750
Sc2 0.124 0.075 0.663
Sc3 0.172 0.401 0.536
```

N(E_F) = 1.395 states/eV per atom

# 2
Nd2Th5Sc5 | GGA-PBE | relaxed

Structure (CIF):
```
data_Nd2Th5Sc5
_symmetry_space_group_name_H-M 'C 1 2/m 1'
_symmetry_Int_Tables_number 12
_cell_length_a 14.820
_cell_length_b 4.851
_cell_length_c 11.003
_cell_angle_alpha 90.00
_cell_angle_beta 117.01
_cell_angle_gamma 90.00
loop_
_symmetry_equiv_pos_as_xyz
'x,y,z'
'-x,-y,-z'
'-x,y,-z'
'x,-y,z'
'x+1/2,y+1/2,z'
'-x+1/2,-y+1/2,-z'
'-x+1/2,y+1/2,-z'
'x+1/2,-y+1/2,z'
loop_
_atom_site_label
_atom_site_fract_x
_atom_site_fract_y
_atom_site_fract_z
Nd1 0.082 0.000 0.251
Th1 0.000 0.000 0.500
Th2 0.167 0.000 0.998
Th3 0.248 0.000 0.748
Sc1 0.000 0.500 0.000
Sc2 0.086 0.500 0.746
Sc3 0.166 0.500 0.503
```

N(E_F) = 1.471 states/eV per atom

# 3
NdThSc | GGA-PBE | relaxed

Structure (CIF):
```
data_NdThSc
_symmetry_space_group_name_H-M 'C 1 2/m 1'
_symmetry_Int_Tables_number 12
_cell_length_a 6.123
_cell_length_b 3.534
_cell_length_c 16.961
_cell_angle_alpha 90.00
_cell_angle_beta 90.17
_cell_angle_gamma 90.00
loop_
_symmetry_equiv_pos_as_xyz
'x,y,z'
'-x,-y,-z'
'-x,y,-z'
'x,-y,z'
'x+1/2,y+1/2,z'
'-x+1/2,-y+1/2,-z'
'-x+1/2,y+1/2,-z'
'x+1/2,-y+1/2,z'
loop_
_atom_site_label
_atom_site_fract_x
_atom_site_fract_y
_atom_site_fract_z
Nd1 0.163 0.000 0.096
Th1 0.002 0.500 0.733
Sc1 0.168 0.000 0.576
```

ΔE to the lowest computed polymorph = 0.0080 eV/atom
N(E_F) = 1.444 states/eV per atom

# 4
NdThSc | GGA-PBE | relaxed

Structure (CIF):
```
data_NdThSc
_symmetry_space_group_name_H-M 'P 4/n m m'
_symmetry_Int_Tables_number 129
_cell_length_a 3.571
_cell_length_b 3.571
_cell_length_c 14.396
_cell_angle_alpha 90.00
_cell_angle_beta 90.00
_cell_angle_gamma 90.00
loop_
_symmetry_equiv_pos_as_xyz
'x,y,z'
'-x,-y,-z'
'-y+1/2,x,z'
'y+1/2,-x,-z'
'-x+1/2,-y+1/2,z'
'x+1/2,y+1/2,-z'
'y,-x+1/2,z'
'-y,x+1/2,-z'
'x+1/2,-y,-z'
'-x+1/2,y,z'
'-y,-x,-z'
'y,x,z'
'-x,y+1/2,-z'
'x,-y+1/2,z'
'y+1/2,x+1/2,-z'
'-y+1/2,-x+1/2,z'
loop_
_atom_site_label
_atom_site_fract_x
_atom_site_fract_y
_atom_site_fract_z
Nd1 0.250 0.250 0.101
Th1 0.250 0.250 0.727
Sc1 0.250 0.250 0.426
```

ΔE to the lowest computed polymorph = 0.0000 eV/atom
N(E_F) = 1.514 states/eV per atom

# 5
NdThSc | GGA-PBE | relaxed

Structure (CIF):
```
data_NdThSc
_symmetry_space_group_name_H-M 'P 3 m 1'
_symmetry_Int_Tables_number 156
_cell_length_a 3.5346
_cell_length_b 3.5346
_cell_length_c 8.4848
_cell_angle_alpha 90.00
_cell_angle_beta 90.00
_cell_angle_gamma 120.00
loop_
_symmetry_equiv_pos_as_xyz
'x,y,z'
'-y,x-y,z'
'-x+y,-x,z'
'-y,-x,z'
'-x+y,y,z'
'x,x-y,z'
loop_
_atom_site_label
_atom_site_fract_x
_atom_site_fract_y
_atom_site_fract_z
Nd1 0.0000 0.0000 0.0000
Th1 0.3333 0.6667 0.6527
Sc1 0.6667 0.3333 0.3399
```

ΔE to the lowest computed polymorph = 0.0151 eV/atom
N(E_F) = 1.697 states/eV per atom

# 6
NdTh2Sc3 | GGA-PBE | relaxed

Structure (CIF):
```
data_NdTh2Sc3
_symmetry_space_group_name_H-M 'C m c m'
_symmetry_Int_Tables_number 63
_symmetry_space_group_name_Hall '-C 2c 2'
_cell_length_a 3.486
_cell_length_b 17.682
_cell_length_c 11.215
_cell_angle_alpha 90.00
_cell_angle_beta 90.00
_cell_angle_gamma 90.00
loop_
_atom_site_label
_atom_site_fract_x
_atom_site_fract_y
_atom_site_fract_z
Nd1 0.000 0.221 0.250
Th1 0.000 0.000 0.000
Th2 0.000 0.444 0.750
Sc1 0.000 0.107 0.750
Sc2 0.000 0.334 0.011
```

ΔE to the lowest computed polymorph = 0.0353 eV/atom
N(E_F) = 1.344 states/eV per atom

no.,total moment (Bohr magnetons per cell),formation energy from the elements (meV/atom),final energy (eV per atom)
1,0.00,99,-6.165
2,0.00,51,-6.474
3,0.00,60,-6.113
4,0.32,52,-6.121
5,0.00,67,-6.106
6,0.00,58,-6.376